(1)
Entry from Alexandria: a relaxed structure of SrRuO3 (PBE-GGA).

Output
electronic total energy	-6.83	eV/atom

Cell: 6.117 6.117 6.117 Å, 54.30 54.30 54.30°
Element x y z (fractional)
Sr1 0.131 0.131 0.131
Sr2 0.869 0.869 0.869
Ru1 0.337 0.337 0.337
Ru2 0.663 0.663 0.663
O1 0.061 0.676 0.474
O2 0.324 0.526 0.939
O3 0.474 0.061 0.676
O4 0.526 0.939 0.324
O5 0.676 0.474 0.061
O6 0.939 0.324 0.526

(2)
Entry from Alexandria: a relaxed structure of SrRuO3 (PBE-GGA).

Output
electronic total energy	-4.77	eV/atom

Cell: 4.415 4.415 4.415 Å, 90.00 90.00 90.00°
Element x y z (fractional)
Sr1 0.000 0.000 0.000
Ru1 0.500 0.500 0.500
O1 0.000 0.000 0.500
O2 0.000 0.500 0.000
O3 0.500 0.000 0.000

(3)
Entry from Alexandria: a relaxed structure of Sr2RuO2 (PBE-GGA).

Output
electronic total energy	-6.05	eV/atom

Cell: 5.109 5.109 8.824 Å, 90.00 90.00 90.00°
Element x y z (fractional)
Sr1 0.000 0.500 0.250
Sr2 0.000 0.500 0.750
Sr3 0.500 0.000 0.250
Sr4 0.500 0.000 0.750
Ru1 0.000 0.000 0.000
Ru2 0.500 0.500 0.500
O1 0.000 0.000 0.221
O2 0.000 0.000 0.779
O3 0.500 0.500 0.279
O4 0.500 0.500 0.721

(4)
Entry from Alexandria: a relaxed structure of SrRuO3 (PBE-GGA).

Output
electronic total energy	-6.33	eV/atom

Cell: 3.976 3.976 8.594 Å, 90.00 90.00 120.00°
Element x y z (fractional)
Sr1 0.333 0.667 0.250
Sr2 0.667 0.333 0.750
Ru1 0.000 0.000 0.000
Ru2 0.000 0.000 0.500
O1 0.000 0.000 0.250
O2 0.000 0.000 0.750
O3 0.333 0.667 0.542
O4 0.333 0.667 0.958
O5 0.667 0.333 0.042
O6 0.667 0.333 0.458

(5)
Entry from Alexandria: a relaxed structure of SrRuO3 (PBE-GGA).

Output
electronic total energy	-6.29	eV/atom

Cell: 10.142 10.142 10.142 Å, 157.42 157.42 32.15°
Element x y z (fractional)
Sr1 0.100 0.100 0.000
Sr2 0.900 0.900 0.000
Ru1 0.500 0.500 0.000
Ru2 0.750 0.250 0.500
O1 0.002 0.502 0.500
O2 0.099 0.333 0.766
O3 0.498 0.998 0.500
O4 0.567 0.333 0.234
O5 0.667 0.433 0.766
O6 0.667 0.901 0.234

(6)
Entry from Alexandria: a relaxed structure of Sr5RuO6 (PBE-GGA).

Output
electronic total energy	-6.15	eV/atom

Cell: 6.173 6.173 6.131 Å, 99.63 99.63 119.93°
Element x y z (fractional)
Sr1 0.000 0.000 0.000
Sr2 0.168 0.832 0.500
Sr3 0.338 0.662 0.000
Sr4 0.662 0.338 0.000
Sr5 0.832 0.168 0.500
Ru1 0.500 0.500 0.500
O1 0.107 0.420 0.260
O2 0.265 0.265 0.738
O3 0.420 0.107 0.260
O4 0.580 0.893 0.740
O5 0.735 0.735 0.262
O6 0.893 0.580 0.740

(7)
Entry from Alexandria: a relaxed structure of SrTaRuO6 (PBE-GGA).

Output
electronic total energy	-8.02	eV/atom

Cell: 5.292 5.292 5.422 Å, 90.00 90.00 120.00°
Element x y z (fractional)
Sr1 0.000 0.000 0.000
Ta1 0.333 0.667 0.500
Ru1 0.667 0.333 0.500
O1 0.378 0.003 0.703
O2 0.378 0.375 0.297
O3 0.625 0.003 0.297
O4 0.625 0.622 0.703
O5 0.997 0.375 0.703
O6 0.997 0.622 0.297

(8)
Entry from Alexandria: a relaxed structure of SrTbRuO6 (PBE-GGA).

Output
electronic total energy	-6.99	eV/atom

Cell: 5.588 5.588 10.353 Å, 90.00 90.00 120.00°
Element x y z (fractional)
Sr1 0.000 0.000 0.000
Sr2 0.000 0.000 0.500
Tb1 0.333 0.667 0.250
Tb2 0.667 0.333 0.750
Ru1 0.333 0.667 0.750
Ru2 0.667 0.333 0.250
O1 0.046 0.390 0.645
O2 0.046 0.656 0.855
O3 0.344 0.390 0.855
O4 0.344 0.954 0.645
O5 0.390 0.046 0.145
O6 0.390 0.344 0.355
O7 0.610 0.656 0.645
O8 0.610 0.954 0.855
O9 0.656 0.046 0.355
O10 0.656 0.610 0.145
O11 0.954 0.344 0.145
O12 0.954 0.610 0.355

(9)
Entry from Alexandria: a relaxed structure of SrTb2RuO8 (PBE-GGA).

Output
electronic total energy	-7.08	eV/atom

Cell: 5.084 7.028 5.100 Å, 90.00 90.57 90.00°
Element x y z (fractional)
Sr1 0.000 0.000 0.000
Tb1 0.500 0.249 0.500
Tb2 0.500 0.751 0.500
Ru1 0.000 0.500 0.000
O1 0.187 0.310 0.183
O2 0.187 0.690 0.183
O3 0.265 0.500 0.731
O4 0.320 0.000 0.675
O5 0.680 0.000 0.325
O6 0.735 0.500 0.269
O7 0.813 0.310 0.817
O8 0.813 0.690 0.817

(10)
Entry from Alexandria: a relaxed structure of Sr2TbRuO6 (PBE-GGA).

Output
electronic total energy	-7.13	eV/atom

Cell: 5.822 5.896 10.075 Å, 90.00 124.88 90.00°
Element x y z (fractional)
Sr1 0.240 0.038 0.249
Sr2 0.240 0.462 0.749
Sr3 0.760 0.538 0.251
Sr4 0.760 0.962 0.751
Tb1 0.500 0.000 0.000
Tb2 0.500 0.500 0.500
Ru1 0.000 0.000 0.500
Ru2 0.000 0.500 0.000
O1 0.152 0.228 0.958
O2 0.152 0.272 0.458
O3 0.231 0.698 0.960
O4 0.231 0.802 0.460
O5 0.310 0.021 0.733
O6 0.310 0.479 0.233
O7 0.690 0.521 0.767
O8 0.690 0.979 0.267
O9 0.769 0.198 0.540
O10 0.769 0.302 0.040
O11 0.848 0.728 0.542
O12 0.848 0.772 0.042

(11)
Entry from Alexandria: a relaxed structure of SrTbRu2O8 (PBE-GGA).

Output
electronic total energy	-7.03	eV/atom

Cell: 5.891 5.891 7.230 Å, 90.00 90.00 120.00°
Element x y z (fractional)
Sr1 0.000 0.000 0.000
Tb1 0.000 0.000 0.500
Ru1 0.333 0.667 0.790
Ru2 0.667 0.333 0.210
O1 0.163 0.325 0.713
O2 0.163 0.837 0.713
O3 0.325 0.163 0.287
O4 0.333 0.667 0.035
O5 0.667 0.333 0.965
O6 0.675 0.837 0.713
O7 0.837 0.163 0.287
O8 0.837 0.675 0.287

(12)
Entry from Alexandria: a relaxed structure of Sr2TcRuO6 (PBE-GGA).

Output
electronic total energy	-7.17	eV/atom

Cell: 5.594 5.594 4.059 Å, 90.00 90.00 90.00°
Element x y z (fractional)
Sr1 0.000 0.500 0.000
Sr2 0.500 0.000 0.000
Tc1 0.000 0.000 0.500
Ru1 0.500 0.500 0.500
O1 0.000 0.000 0.000
O2 0.248 0.248 0.500
O3 0.248 0.752 0.500
O4 0.500 0.500 0.000
O5 0.752 0.248 0.500
O6 0.752 0.752 0.500

Which value of electronic total energy does entry 10 give? -7.13 eV/atom

What is the electronic total energy in the third record? -6.05 eV/atom

Which of these has the highest electronic total energy? number 2